Material: Nd4Ga12Ni
Method: DFT, PBE-GGA
State: optimized geometry

Cell: 7.588 7.588 7.588 Å, 109.47 109.47 109.47°
Element x y z (fractional)
Nd 0.000 0.000 0.500
Nd 0.000 0.500 0.000
Nd 0.500 0.000 0.000
Nd 0.500 0.500 0.500
Ga 0.000 0.288 0.288
Ga 0.000 0.712 0.712
Ga 0.250 0.500 0.750
Ga 0.250 0.750 0.500
Ga 0.288 0.000 0.288
Ga 0.288 0.288 0.000
Ga 0.500 0.250 0.750
Ga 0.500 0.750 0.250
Ga 0.712 0.000 0.712
Ga 0.712 0.712 0.000
Ga 0.750 0.250 0.500
Ga 0.750 0.500 0.250
Ni 0.000 0.000 0.000

Space group ... No. 229
Energy of formation ... -0.571 eV/atom